Computed, not measured: an optimized crystal structure of Sr2SiP at the PBEsol level of DFT.

The total magnetization comes out at 0.00 μB/cell. As for the uncorrected formation energy: -1.7 eV per formula unit. The value obtained for the total energy is -4.2393 eV/atom. For the density of states at the Fermi level, the calculation gives 2.25 states/eV/f.u.

Unit cell a=6.936 b=8.418 c=3.399 alpha=90.00 beta=90.00 gamma=90.00
Space group Cmmm (No. 65)
Unique sites:
1 Sr 0.250 0.250 0.000
2 Si 0.000 0.000 0.500
3 P 0.000 0.500 0.500

=====

Computed, not measured: an optimized crystal structure of Sr2SiP at the PBEsol level of DFT.

The total magnetization comes out at 0.00 μB/cell. As for the uncorrected formation energy: -1.1 eV per formula unit. The value obtained for the total energy is -4.0822 eV/atom. For the density of states at the Fermi level, the calculation gives 4.21 states/eV/f.u.

Unit cell a=4.357 b=4.357 c=10.760 alpha=90.00 beta=90.00 gamma=90.00
Space group I-4m2 (No. 119)
Unique sites:
1 Sr 0.000 0.000 0.000
2 Sr 0.000 0.500 0.250
3 Si 0.000 0.500 0.750
4 P 0.000 0.000 0.500

=====

Computed, not measured: an optimized crystal structure of SrSi2P2 at the PBEsol level of DFT.

The total magnetization comes out at 0.00 μB/cell. As for the uncorrected formation energy: -1.3 eV per formula unit. The value obtained for the total energy is -5.2336 eV/atom. For the density of states at the Fermi level, the calculation gives 1.36 states/eV/f.u.

Unit cell a=4.533 b=4.533 c=9.914 alpha=90.00 beta=90.00 gamma=90.00
Space group I4/mmm (No. 139)
Unique sites:
1 Sr 0.000 0.000 0.000
2 Si 0.000 0.500 0.250
3 P 0.000 0.000 0.326

=====

Computed, not measured: an optimized crystal structure of Ta2SiP at the PBEsol level of DFT.

The total magnetization comes out at 0.00 μB/cell. As for the uncorrected formation energy: -1.2 eV per formula unit. The value obtained for the total energy is -9.4660 eV/atom. For the density of states at the Fermi level, the calculation gives 2.08 states/eV/f.u.

Unit cell a=2.953 b=3.598 c=5.880 alpha=90.00 beta=102.73 gamma=90.00
Space group P2/m (No. 10)
Unique sites:
1 Ta 0.211 0.000 0.256
2 Si 0.500 0.500 0.000
3 P 0.000 0.500 0.500

=====

Computed, not measured: an optimized crystal structure of Ta2SiP at the PBEsol level of DFT.

The total magnetization comes out at 0.01 μB/cell. As for the uncorrected formation energy: 0.5 eV per formula unit. The value obtained for the total energy is -9.0255 eV/atom. For the density of states at the Fermi level, the calculation gives 5.69 states/eV/f.u.

Unit cell a=6.282 b=6.282 c=6.282 alpha=90.00 beta=90.00 gamma=90.00
Space group F-43m (No. 216)
Unique sites:
1 Ta 0.000 0.000 0.000
2 Ta 0.250 0.250 0.250
3 Si 0.250 0.250 0.750
4 P 0.000 0.000 0.500

=====

Computed, not measured: an optimized crystal structure of TaSi2P at the PBEsol level of DFT.

The total magnetization comes out at 0.01 μB/cell. As for the uncorrected formation energy: 1.1 eV per formula unit. The value obtained for the total energy is -7.1894 eV/atom. For the density of states at the Fermi level, the calculation gives 4.23 states/eV/f.u.

Unit cell a=6.166 b=6.166 c=6.166 alpha=90.00 beta=90.00 gamma=90.00
Space group F-43m (No. 216)
Unique sites:
1 Ta 0.000 0.000 0.000
2 Si 0.000 0.000 0.500
3 Si 0.250 0.250 0.250
4 P 0.250 0.250 0.750

=====

Computed, not measured: an optimized crystal structure of TaSi2P at the PBEsol level of DFT.

The total magnetization comes out at 0.00 μB/cell. As for the uncorrected formation energy: -0.7 eV per formula unit. The value obtained for the total energy is -7.6286 eV/atom. For the density of states at the Fermi level, the calculation gives 1.87 states/eV/f.u.

Unit cell a=3.351 b=3.351 c=5.140 alpha=90.00 beta=90.00 gamma=90.00
Space group P4mm (No. 99)
Unique sites:
1 Ta 0.000 0.000 0.000
2 Si 0.000 0.000 0.503
3 Si 0.500 0.500 0.719
4 P 0.500 0.500 0.226

=====

Computed, not measured: an optimized crystal structure of Ta2SiP at the PBEsol level of DFT.

The total magnetization comes out at 0.00 μB/cell. As for the uncorrected formation energy: -1.3 eV per formula unit. The value obtained for the total energy is -9.4974 eV/atom. For the density of states at the Fermi level, the calculation gives 2.52 states/eV/f.u.

Unit cell a=6.212 b=6.212 c=6.212 alpha=90.00 beta=90.00 gamma=90.00
Space group Fm-3m (No. 225)
Unique sites:
1 Ta 0.250 0.250 0.250
2 Si 0.000 0.000 0.000
3 P 0.000 0.000 0.500